Density functional theory data (GGA-PBE) for a relaxed Rb4Er3PaTe8 crystal.

Computed properties:
Its formation energy (no corrections) is -1.235 eV/atom. As for the symmetry: R-3m (166). For the magnetization, the calculation gives 1.88 μB per cell. The calculation puts the mass density at 5.8 Mg/m³.

Cell and atoms, written as POSCAR:
```
Rb4Er3PaTe8
1.0
8.989 0.000 0.000
0.000 10.017 0.714
-4.495 -4.488 6.361
Rb Er Pa Te
4 3 1 8
Cartesian
4.495 0.000 0.000 Rb
2.247 -2.244 3.181 Rb
0.000 0.000 0.000 Rb
-2.247 -2.244 3.181 Rb
4.495 5.008 0.357 Er
2.247 2.764 3.538 Er
-2.247 2.764 3.538 Er
0.000 5.008 0.357 Pa
-2.221 2.686 6.640 Te
0.000 4.904 3.497 Te
0.000 0.629 3.619 Te
2.221 2.686 6.640 Te
2.274 2.842 0.435 Te
4.495 4.899 3.456 Te
4.495 0.624 3.578 Te
6.715 2.842 0.435 Te
```